Entry 1:
This record from Alexandria describes Ta7Mo at its PBEsol-relaxed geometry. The functional is meta-GGA SCAN.

Its crystal system is tetragonal. The formation energy comes out at -0.0411 eV/atom. The value obtained for the energy above the lowest structure with this stoichiometry is 13 meV/atom. As for the total energy: -62.662 eV per atom. For the calculated density, the calculation gives 16.4 g/cm3. Its volume is 138.4 Å³/cell.

a b c (Å): 4.6010 4.6010 6.5365
angles (deg): 90.00 90.00 90.00
Fractional coordinates of all 8 atoms:
Mo 0.0000 0.0000 0.0000
Ta 0.5000 0.0000 0.2443
Ta 0.0000 0.0000 0.5000
Ta 0.5000 0.0000 0.7557
Ta 0.5000 0.5000 0.0000
Ta 0.0000 0.5000 0.2443
Ta 0.5000 0.5000 0.5000
Ta 0.0000 0.5000 0.7557


Entry 2:
This record from Alexandria describes ScTl2Os at its PBEsol-relaxed geometry. The functional is meta-GGA SCAN.

Its crystal system is monoclinic. The formation energy comes out at 0.0607 eV/atom. The value obtained for the energy above the lowest structure with this stoichiometry is 0 meV/atom. As for the total energy: -57.648 eV per atom. For the calculated density, the calculation gives 12.5 g/cm3. Its volume is 85.6 Å³/cell.

a b c (Å): 3.2051 3.2181 8.4446
angles (deg): 100.81 90.00 90.00
Fractional coordinates of all 4 atoms:
Os 0.0000 0.9512 0.5235
Sc 0.5000 0.5349 0.6951
Tl 0.0000 0.1705 0.9763
Tl 0.5000 0.3433 0.3052


Entry 3:
This record from Alexandria describes Ga3SnP at its PBEsol-relaxed geometry. The functional is meta-GGA SCAN.

Its crystal system is cubic. The formation energy comes out at 0.3720 eV/atom. As for the total energy: -18.700 eV per atom. For the calculated density, the calculation gives 5.6 g/cm3. Its volume is 107.0 Å³/cell.

a b c (Å): 4.7481 4.7481 4.7481
angles (deg): 90.00 90.00 90.00
Fractional coordinates of all 5 atoms:
P 0.0000 0.0000 0.0000
Sn 0.5000 0.5000 0.5000
Ga 0.0000 0.5000 0.0000
Ga 0.0000 0.0000 0.5000
Ga 0.5000 0.0000 0.0000


Entry 4:
This record from Alexandria describes In2Te2MoO10 at its PBEsol-relaxed geometry. The functional is meta-GGA SCAN.

The uncorrected formation energy comes out at -1.6330 eV per atom. Its crystal system is monoclinic. As for the total energy: -17.531 eV per atom. For the calculated density, the calculation gives 6.1 g/cm3. Its volume is 807.0 Å³/cell.

a b c (Å): 5.3377 11.9409 12.6933
angles (deg): 94.07 90.00 90.00
Fractional coordinates of all 60 atoms:
In 0.2882 0.8464 0.8148
In 0.7118 0.1536 0.1852
In 0.7519 0.0591 0.8764
In 0.2118 0.3464 0.3148
In 0.2519 0.4409 0.6236
In 0.7481 0.5591 0.3764
In 0.2481 0.9409 0.1236
In 0.7882 0.6536 0.6852
Te 0.7707 0.8722 0.2644
Te 0.3033 0.7242 0.5351
Te 0.7293 0.3722 0.7644
Te 0.1967 0.2242 0.0351
Te 0.6967 0.2758 0.4649
Te 0.2707 0.6278 0.2356
Te 0.8033 0.7758 0.9649
Te 0.2293 0.1278 0.7356
Mo 0.7358 0.4366 0.1129
Mo 0.7642 0.9366 0.6129
Mo 0.2358 0.0634 0.3871
Mo 0.2642 0.5634 0.8871
O 0.9433 0.4822 0.2231
O 0.0646 0.9882 0.7822
O 0.4341 0.3014 0.7010
O 0.0567 0.5178 0.7769
O 0.4055 0.3753 0.4783
O 0.9354 0.0118 0.2178
O 0.4354 0.4882 0.2822
O 0.5785 0.5578 0.0857
O 0.5296 0.3156 0.1278
O 0.4704 0.6844 0.8722
O 0.3952 0.1007 0.0857
O 0.4044 0.1450 0.8694
O 0.9180 0.3933 0.0047
O 0.5429 0.2383 0.3247
O 0.6048 0.8993 0.9143
O 0.1048 0.6007 0.5857
O 0.5567 0.9822 0.7231
O 0.9055 0.1247 0.0217
O 0.0785 0.9422 0.4143
O 0.0296 0.1844 0.3722
O 0.0659 0.8014 0.2010
O 0.5820 0.8933 0.5047
O 0.4180 0.1067 0.4953
O 0.0956 0.6450 0.3694
O 0.5945 0.6247 0.5217
O 0.4215 0.4422 0.9143
O 0.5956 0.8550 0.1306
O 0.5659 0.6986 0.2990
O 0.0820 0.6067 0.9953
O 0.9571 0.7383 0.8247
O 0.9704 0.8156 0.6278
O 0.0429 0.2617 0.1753
O 0.9341 0.1986 0.7990
O 0.8952 0.3993 0.4143
O 0.4571 0.7617 0.6753
O 0.9215 0.0578 0.5857
O 0.9044 0.3550 0.6306
O 0.5646 0.5118 0.7178
O 0.0945 0.8753 0.9783
O 0.4433 0.0178 0.2769